VASP calculation (PBE-GGA) on a relaxed structure of PrSm2Cu2.

a = 3.6164 Å, b = 26.6024 Å, c = 5.2225 Å
α = 90.00°, β = 90.00°, γ = 90.00°
Last column: nearest neighbours and their distance in Å.
Space group Cmcm (No. 63)
Inequivalent atoms, fractional coordinates:
1 Pr 0.0000 0.1410 0.2500 x4  6 Cu 3.16-3.18, 2 Sm 3.53
2 Sm 0.0000 0.0470 0.7500 x4  8 Cu 3.01-3.18
3 Sm 0.0000 0.2301 0.7500 x4  2 Cu 3.00, 4 Sm 3.35
4 Cu 0.0000 0.3598 0.2500 x4  4 Sm 3.00-3.07, 4 Pr 3.18
5 Cu 0.0000 0.4566 0.7500 x4  6 Sm 3.01-3.18, 2 Pr 3.16

Results
Uncorrected energy, eV per cell: -91.53
Energy relative to the lowest polymorph listed for this composition, meV/atom: 0
Total magnetic moment, Bohr magnetons per cell: 0.00